Computed, not measured: an optimized crystal structure of Mn2Cr2W at the GGA-PBE level of DFT.

POSCAR file:
```
Mn2Cr2W
1.0
6.844 0.000 0.000
0.000 6.844 0.000
0.000 0.000 2.671
Cr Mn W
4 4 2
direct
0.658 0.842 0.500
0.342 0.158 0.500
0.842 0.342 0.500
0.158 0.658 0.500
0.640 0.140 0.000
0.140 0.360 0.000
0.360 0.860 0.000
0.860 0.640 0.000
0.500 0.500 0.000
0.000 0.000 0.000
```

Properties
Formation energy   0.2438 eV/atom
Raw total energy   -9.864 eV/atom
Distance to the lowest polymorph of the same formula   0 meV per atom
Magnetization   1.74 Bohr magnetons per cell

Computed, not measured: an optimized crystal structure of LuGa2Ni at the GGA-PBE level of DFT.

POSCAR file:
```
LuGa2Ni
1.0
-1.720 -2.261 2.965
3.983 -2.527 -2.472
4.304 2.486 4.393
Ga Ni Lu
4 2 2
direct
0.640 0.281 0.553
0.640 0.281 0.947
0.360 0.719 0.053
0.360 0.719 0.447
0.209 0.418 0.750
0.791 0.582 0.250
0.926 0.851 0.750
0.074 0.149 0.250
```

Properties
Formation energy   -0.6540 eV/atom
Raw total energy   -4.743 eV/atom
Magnetization   0.00 Bohr magnetons per cell

Computed, not measured: an optimized crystal structure of CaPbS2 at the GGA-PBE level of DFT.

POSCAR file:
```
CaPbS2
1.0
6.431 0.000 0.000
0.000 6.431 0.000
3.216 3.216 6.531
Ca S Pb
2 4 2
direct
0.500 0.500 0.000
0.250 0.750 0.500
0.606 0.125 0.250
0.375 0.394 0.750
0.875 0.856 0.750
0.144 0.625 0.250
0.750 0.250 0.500
0.000 0.000 0.000
```

Properties
Raw total energy   -4.613 eV/atom
Magnetization   0.00 Bohr magnetons per cell
Raw formation energy   -1121 meV/atom

Computed, not measured: an optimized crystal structure of NbBPPt2 at the GGA-PBE level of DFT.

POSCAR file:
```
NbBPPt2
1.0
4.087 0.000 0.000
0.000 4.551 0.000
0.000 0.000 4.087
Nb P Pt B
1 1 2 1
direct
0.000 0.500 0.000
0.500 0.500 0.500
0.500 0.000 0.000
0.000 0.000 0.500
0.000 0.000 0.000
```

Properties
Formation energy   0.0018 eV/atom
Raw total energy   -6.846 eV/atom
Magnetization   0.00 Bohr magnetons per cell

Computed, not measured: an optimized crystal structure of Ti4NbN5 at the GGA-PBE level of DFT.

POSCAR file:
```
Ti4NbN5
1.0
-1.737 2.148 -1.275
-1.524 -1.857 -4.681
-6.286 -2.324 1.018
N Nb Ti
5 1 4
direct
0.205 0.899 0.692
0.000 0.500 0.500
0.795 0.101 0.308
0.395 0.317 0.894
0.605 0.683 0.106
0.000 0.000 0.000
0.203 0.394 0.201
0.400 0.800 0.400
0.797 0.606 0.799
0.600 0.200 0.600
```

Properties
Raw total energy   -9.886 eV/atom
Magnetization   0.00 Bohr magnetons per cell
Raw formation energy   -1558 meV/atom

Computed, not measured: an optimized crystal structure of ThAgBiN at the GGA-PBE level of DFT.

POSCAR file:
```
ThAgBiN
1.0
4.129 0.000 0.000
0.000 4.129 0.000
0.000 0.000 11.115
Bi Ag N Th
2 2 2 2
direct
0.000 0.500 0.304
0.500 0.000 0.696
0.000 0.000 0.500
0.500 0.500 0.500
0.500 0.500 0.000
0.000 0.000 0.000
0.500 0.000 0.102
0.000 0.500 0.898
```

Properties
Raw total energy   -6.486 eV/atom
Magnetization   0.00 Bohr magnetons per cell
Raw formation energy   -867 meV/atom

Computed, not measured: an optimized crystal structure of Sm4HgSbC at the GGA-PBE level of DFT.

POSCAR file:
```
Sm4HgSbC
1.0
7.010 0.000 0.000
0.000 7.000 0.000
-3.505 0.000 7.911
Sm Hg Sb C
8 2 2 2
direct
0.083 0.750 0.166
0.000 0.000 0.500
0.500 0.000 0.500
0.000 0.500 0.500
0.500 0.500 0.500
0.411 0.750 0.822
0.917 0.250 0.834
0.589 0.250 0.178
0.115 0.250 0.230
0.885 0.750 0.770
0.388 0.250 0.776
0.612 0.750 0.224
0.250 0.750 0.500
0.750 0.250 0.500
```

Properties
Raw total energy   -5.180 eV/atom
Magnetization   0.00 Bohr magnetons per cell
Raw formation energy   -534 meV/atom

Computed, not measured: an optimized crystal structure of NaTl10Hg2 at the GGA-PBE level of DFT.

POSCAR file:
```
NaTl10Hg2
1.0
6.289 0.000 0.000
3.144 8.032 0.000
3.144 0.000 8.102
Tl Na Hg
10 1 2
direct
0.293 0.212 0.202
0.996 0.360 0.647
0.495 0.212 0.798
0.004 0.640 0.353
0.356 0.640 0.647
0.707 0.788 0.798
0.505 0.788 0.202
0.000 0.000 0.500
0.644 0.360 0.353
0.500 0.000 0.500
0.000 0.000 0.000
0.500 0.500 0.000
0.000 0.500 0.000
```

Properties
Formation energy   0.0203 eV/atom
Raw total energy   -1.948 eV/atom
Magnetization   0.00 Bohr magnetons per cell